VASP calculation (GGA+U) on a relaxed Ba2FeHgO4 crystal.

POSCAR file:
```
Ba2FeHgO4
1.0
-3.1307 4.2414 2.6135
1.8534 -3.9525 3.9452
4.7949 2.2362 -2.5748
O Ba Hg Fe
4 2 1 1
Direct
0.0020 0.1767 0.5035
0.6732 0.4965 0.4985
0.3268 0.8252 0.8233
0.9980 0.5015 0.1748
0.5000 0.7500 0.2500
0.0000 0.0000 0.0000
0.5000 0.2500 0.7500
0.0000 0.5000 0.5000
```

Output
The mass density comes out at 6.3 Mg/m³. For the total energy, the calculation gives -5.287 eV per atom. The calculation puts the calculated volume at 19.57 Å³/atom. For the size of the total moment, the calculation gives 4.090 Bohr magnetons per cell.